# LaBeZnIrS PBE-GGA relaxed
data_LaBeZnIrS
_chemical_formula_sum 'La2 Be2 Zn2 Ir2 S2'
_symmetry_space_group_name_H-M 'P 1'
_symmetry_Int_Tables_number 1
_symmetry_space_group_name_Hall 'P 1'
_cell_length_a 7.849
_cell_length_b 4.004
_cell_length_c 6.909
_cell_angle_alpha 90.00
_cell_angle_beta 107.13
_cell_angle_gamma 90.00
loop_
_atom_site_label
_atom_site_type_symbol
_atom_site_fract_x
_atom_site_fract_y
_atom_site_fract_z
Be1 Be 0.899 0.000 0.445
Be2 Be 0.899 0.500 0.945
Zn1 Zn 0.729 0.000 0.056
Zn2 Zn 0.729 0.500 0.556
Ir1 Ir 0.914 0.000 0.784
Ir2 Ir 0.914 0.500 0.284
S1 S 0.419 0.000 0.952
S2 S 0.419 0.500 0.452
La1 La 0.194 0.000 0.211
La2 La 0.194 0.500 0.711
# Electronic total energy ... -0.196 hartree per atom
# Distance to the lowest polymorph of the same formula ... 0.88 kcal/mol of atoms
# Crystal system ... monoclinic